Entry 1:
MgCrW2 (PBE-GGA, relaxed); raw total energy = -8.766 eV per atom; excess energy over the best structure of this formula in the dataset = 218 meV/atom; formation energy = 0.51 eV/atom; volume = 15.9 Å³/atom
1.0
2.714 0.000 0.000
0.000 2.714 0.000
0.000 0.000 8.654
Mg Cr W
1 1 2
Cartesian
0.000 0.000 0.000 Mg
0.000 0.000 4.327 Cr
1.357 1.357 2.340 W
1.357 1.357 6.314 W

Entry 2:
B2C (PBE-GGA, relaxed); raw total energy = -7.107 eV per atom; excess energy over the best structure of this formula in the dataset = 234 meV/atom; formation energy = 0.42 eV/atom; volume = 6.8 Å³/atom
1.0
2.409 0.000 0.000
0.000 2.409 0.000
0.000 0.000 14.074
B C
8 4
Cartesian
0.000 0.000 1.995 B
0.000 0.000 12.078 B
0.000 1.205 5.959 B
0.000 1.205 10.748 B
1.205 0.000 3.326 B
1.205 0.000 8.114 B
1.205 1.205 4.618 B
1.205 1.205 9.456 B
0.000 0.000 7.037 C
0.000 1.205 0.904 C
1.205 0.000 13.170 C
1.205 1.205 0.000 C

Entry 3:
Ba2In4GaGe3 (PBE-GGA, relaxed); raw total energy = -3.477 eV per atom; formation energy = -0.31 eV/atom; volume = 27.9 Å³/atom
1.0
5.098 0.000 0.000
0.000 5.098 0.000
0.000 0.000 10.735
Ba In Ga Ge
2 4 1 3
Cartesian
0.000 2.549 2.561 Ba
2.549 0.000 8.174 Ba
0.000 0.000 5.367 In
0.000 2.549 9.445 In
2.549 0.000 1.290 In
2.549 2.549 5.367 In
2.549 2.549 0.000 Ga
0.000 0.000 0.000 Ge
0.000 2.549 6.693 Ge
2.549 0.000 4.042 Ge

Entry 4:
Ba2AcPuO4 (PBE-GGA, relaxed); raw total energy = -7.774 eV per atom; volume = 19.4 Å³/atom
1.0
6.545 0.000 0.000
0.000 3.763 0.000
-2.164 0.000 6.318
Ba Ac Pu O
2 1 1 4
Cartesian
0.000 0.000 0.000 Ba
3.272 1.882 0.000 Ba
-1.082 1.882 3.159 Ac
2.190 0.000 3.159 Pu
0.116 0.000 4.458 O
1.206 1.882 1.922 O
3.175 1.882 4.395 O
4.265 0.000 1.860 O

Entry 5:
CaPm8Nd5 (PBE-GGA, relaxed); raw total energy = -4.339 eV per atom; formation energy = 0.22 eV/atom; volume = 36.1 Å³/atom
1.0
-4.931 4.931 5.197
4.931 -4.931 5.197
4.931 4.931 -5.197
Ca Pm Nd
1 8 5
Cartesian
0.000 0.000 0.000 Ca
6.653 0.850 0.049 Pm
1.734 -0.719 3.652 Pm
0.850 3.210 -0.049 Pm
3.198 5.651 -1.545 Pm
4.212 3.198 1.545 Pm
4.081 1.722 5.147 Pm
0.719 1.734 6.741 Pm
-1.722 4.081 5.246 Pm
3.871 2.071 -1.833 Nd
4.931 0.000 2.598 Nd
2.860 -1.061 7.030 Nd
1.061 2.860 3.364 Nd
2.071 5.992 1.833 Nd

Entry 6:
Rb2TiInHg (PBE-GGA, relaxed); raw total energy = -1.571 eV per atom; formation energy = 1.00 eV/atom; volume = 54.0 Å³/atom
1.0
6.972 0.000 0.000
0.000 6.972 0.000
0.000 0.000 5.552
Rb Ti In Hg
2 1 1 1
Cartesian
0.000 3.486 0.000 Rb
3.486 0.000 0.000 Rb
0.000 0.000 2.776 Ti
3.486 3.486 0.000 In
3.486 3.486 2.776 Hg

Entry 7:
NaLiHSe2 (PBE-GGA, relaxed); raw total energy = -2.989 eV per atom; volume = 16.9 Å³/atom
1.0
4.581 0.000 0.000
0.000 4.581 0.000
0.000 0.000 4.025
Na Li H Se
1 1 1 2
Cartesian
0.000 0.000 0.000 Na
2.290 2.290 0.000 Li
2.290 2.290 2.012 H
0.000 2.290 2.012 Se
2.290 0.000 2.012 Se

Entry 8:
Ho2CrPN5 (PBE-GGA, relaxed); raw total energy = -8.272 eV per atom; volume = 11.3 Å³/atom
1.0
1.533 -6.731 0.000
1.533 6.731 0.000
0.000 0.000 9.855
Ho Cr P N
4 2 2 10
Cartesian
1.533 5.213 4.927 Ho
1.533 4.855 1.457 Ho
1.533 -4.855 6.385 Ho
1.533 -5.213 0.000 Ho
1.533 3.867 8.533 Cr
1.533 -3.867 3.606 Cr
1.533 0.801 2.513 P
1.533 -0.801 7.441 P
1.533 6.140 8.342 N
1.533 2.800 4.779 N
1.533 2.392 2.100 N
1.533 2.048 8.233 N
1.533 0.064 6.081 N
1.533 -0.064 1.154 N
1.533 -2.048 3.305 N
1.533 -2.392 7.028 N
1.533 -2.800 9.707 N
1.533 -6.140 3.414 N